! Y2CuSb2 PBE optimized geometry; values from VASP
&SYSTEM
  ibrav = 0, nat = 5, ntyp = 3
/
ATOMIC_SPECIES
Sb 121.76 Sb.upf
Cu 63.55 Cu.upf
Y 88.91 Y.upf
ATOMIC_POSITIONS angstrom
Sb 0.783 -4.019 -2.056
Cu 0.000 0.000 0.000
Y 0.988 -6.871 -1.096
Sb 0.643 -7.900 -3.910
Y 0.437 -5.048 -4.869
CELL_PARAMETERS angstrom
-0.375 -5.587 2.090
-1.478 -1.942 -5.456
3.278 -4.390 -2.600
! polymorph energy (0 for the lowest one): 256 meV/atom
! crystal system: tetragonal
! formation energy from raw total energies: -330 meV per atom
! space-group type: I4/mmm
! M_tot: 0.838 μB/cell